Entry 1:
LiAsIrBr2: optimized geometry, PBE.

## Properties
formation energy without anion corrections	-70	meV per atom
calculated density	5.228	g cm⁻³
polymorph energy (0 for the lowest one)	0.000	eV/f.u.
SG	P4/mmm (123)
uncorrected energy	-19.1	eV/cell

```
LiAsIrBr2
1.0
-0.695 -1.053 -5.341
-4.123 -3.415 1.210
-2.964 3.473 -0.299
As Li Br Ir
1 1 2 1
Direct
0.000 0.000 0.500
0.500 0.500 0.500
0.000 0.500 0.000
0.500 0.000 0.000
0.000 0.000 0.000
```



Entry 2:
CsK2Rb8: optimized geometry, PBE.

## Properties
calculated density	1.460	g cm⁻³
SG	C2/m (12)
uncorrected energy	-10.4	eV/cell

```
CsK2Rb8
1.0
8.302 -1.107 -1.661
-2.900 13.241 -1.874
-2.900 -6.830 11.498
Rb K Cs
8 2 1
Direct
0.270 0.531 0.531
0.215 0.098 0.367
0.785 0.633 0.902
0.500 0.798 0.202
0.730 0.469 0.469
0.785 0.902 0.633
0.215 0.367 0.098
0.500 0.202 0.798
0.000 0.317 0.683
0.000 0.683 0.317
0.500 0.000 0.000
```



Entry 3:
Pr2Sm3Al3: optimized geometry, PBE.

## Properties
calculated density	6.063	g cm⁻³
SG	Immm (71)
uncorrected energy	-37.0	eV/cell

```
Pr2Sm3Al3
1.0
3.742 0.000 -0.603
-0.198 5.107 -1.228
-0.044 0.094 11.647
Pr Al Sm
2 3 3
Direct
0.728 0.228 0.456
0.272 0.772 0.544
0.000 0.500 0.000
0.114 0.114 0.228
0.886 0.886 0.772
0.500 0.000 0.000
0.384 0.384 0.768
0.616 0.616 0.232
```



Entry 4:
ErInIrAu: optimized geometry, PBE.

## Properties
calculated density	14.154	g cm⁻³
SG	F-43m (216)
uncorrected energy	-21.5	eV/cell

```
ErInIrAu
1.0
4.811 0.000 0.000
2.406 4.167 0.000
2.406 1.389 3.928
In Ir Au Er
1 1 1 1
Direct
0.250 0.250 0.250
0.500 0.500 0.500
0.000 0.000 0.000
0.750 0.750 0.750
```